VASP calculation (PBE) on crystalline FeIr2Cl at its relaxed geometry.

a = 4.3842 Å, b = 4.3842 Å, c = 4.3842 Å
α = 60.00°, β = 60.00°, γ = 60.00°
Fractional positions:
Ir: 0.0000 0.0000 0.0000
Ir: 0.2500 0.2500 0.2500
Fe: 0.7500 0.7500 0.7500
Cl: 0.5000 0.5000 0.5000

Output
ΔE_f (raw)   851 meV/atom
ΔE to the lowest computed polymorph   510 meV/atom
Uncorrected energy   -24.628 eV for the cell shown
Space group   F-43m (216)
M_tot   2.6 μB/cell

---

VASP calculation (PBE) on crystalline PmPr2Cd2Sn2 at its relaxed geometry.

a = 4.9919 Å, b = 4.9919 Å, c = 9.7205 Å
α = 75.12°, β = 75.12°, γ = 60.00°
Fractional positions:
Pm: 0.0000 0.0000 0.0000
Pr: 0.1316 0.1316 0.6053
Pr: 0.8684 0.8684 0.3947
Cd: 0.5857 0.5857 0.2429
Cd: 0.4143 0.4143 0.7571
Sn: 0.7311 0.7311 0.8068
Sn: 0.2689 0.2689 0.1932

Output
Uncorrected energy   -26.561 eV for the cell shown
Space group   R-3m (166)
Calculated formation energy   -2.42 eV per formula unit
M_tot   0.0 μB/cell

---

VASP calculation (PBE) on crystalline Li2BiPt2 at its relaxed geometry.

a = 7.4850 Å, b = 7.4850 Å, c = 3.0104 Å
α = 90.00°, β = 90.00°, γ = 90.00°
Fractional positions:
Bi: 0.0000 0.0000 0.0000
Bi: 0.5000 0.5000 0.0000
Pt: 0.3632 0.8632 0.0000
Pt: 0.8632 0.6368 0.0000
Pt: 0.6368 0.1368 0.0000
Pt: 0.1368 0.3632 0.0000
Li: 0.1558 0.6558 0.5000
Li: 0.6558 0.8442 0.5000
Li: 0.8442 0.3442 0.5000
Li: 0.3442 0.1558 0.5000

Output
ΔE to the lowest computed polymorph   0 meV/atom
Uncorrected energy   -43.341 eV for the cell shown
Space group   P4/mbm (127)
Calculated formation energy   -1.88 eV per formula unit
M_tot   0.0 μB/cell

---

VASP calculation (PBE) on crystalline MgAgBi at its relaxed geometry.

a = 6.1306 Å, b = 3.5149 Å, c = 7.5102 Å
α = 76.50°, β = 65.62°, γ = 89.97°
Fractional positions:
Mg: 0.3391 0.1701 0.3286
Mg: 0.0727 0.9018 0.8544
Bi: 0.8707 0.1663 0.2662
Bi: 0.5411 0.9053 0.9166
Ag: 0.4499 0.5360 0.5910
Ag: 0.9619 0.5358 0.5918

Output
Uncorrected energy   -17.053 eV for the cell shown
Space group   P-1 (2)
Calculated formation energy   -0.20 eV per formula unit
M_tot   0.0 μB/cell